Entry from Alexandria: crystalline MnAl2SiS6 at its relaxed geometry (PBE).

Results
As for the total energy: -5.339 eV per atom. Its symmetry is No. 15.

a b c (Å): 6.1138 7.7548 7.7548
angles (deg): 84.92 82.85 82.85
Last column: magnetic moment on the atom in μB.
Fractional positions:
S  0.5992  0.1144  0.6549  -0.01
S  0.3699  0.5385  0.7213  -0.01
S  0.8889  0.0192  0.1894  -0.03
S  0.6301  0.4615  0.2787  -0.01
S  0.3889  0.1894  0.0192  -0.03
S  0.6111  0.8106  0.9808  -0.03
S  0.4008  0.8856  0.3451  -0.01
S  0.1111  0.9808  0.8106  -0.03
S  0.9008  0.3451  0.8856  -0.01
S  0.8699  0.7213  0.5385  -0.01
S  0.0992  0.6549  0.1144  -0.01
S  0.1301  0.2787  0.4615  -0.01
Mn  0.2500  0.9131  0.0869  1.21
Mn  0.7500  0.0869  0.9131  1.21
Si  0.2500  0.2521  0.7479  -0.05
Si  0.7500  0.7479  0.2521  -0.05
Al  0.7040  0.5924  0.7846  0.00
Al  0.7960  0.2154  0.4076  0.00
Al  0.2960  0.4076  0.2154  0.00
Al  0.2040  0.7846  0.5924  0.00

---

Entry from Alexandria: crystalline Sm2MnAlS6 at its relaxed geometry (PBE).

Results
As for the total energy: -6.133 eV per atom. Its symmetry is No. 14.

a b c (Å): 6.2705 7.1306 9.0305
angles (deg): 90.00 90.17 90.00
Last column: magnetic moment on the atom in μB.
Fractional positions:
Sm  0.4590  0.3889  0.2504  0.02
Sm  0.0410  0.8889  0.2496  0.02
Sm  0.9590  0.1111  0.7504  0.02
Sm  0.5410  0.6111  0.7496  0.02
Al  0.5000  0.0000  0.5000  0.02
Al  0.0000  0.5000  0.0000  0.02
S  0.3102  0.6690  0.0531  0.03
S  0.3148  0.6761  0.4477  -0.01
S  0.3807  0.9799  0.7525  0.00
S  0.1898  0.1690  0.4469  0.03
S  0.6852  0.3239  0.5523  -0.01
S  0.6193  0.0201  0.2475  0.00
S  0.8102  0.8310  0.5531  0.03
S  0.1193  0.4799  0.7475  0.00
S  0.8807  0.5201  0.2525  0.00
S  0.8148  0.8239  0.9477  -0.01
S  0.6898  0.3310  0.9469  0.03
S  0.1852  0.1761  0.0523  -0.01
Mn  0.0000  0.5000  0.5000  3.58
Mn  0.5000  0.0000  0.0000  3.58

---

Entry from Alexandria: crystalline Sm3MnAlS7 at its relaxed geometry (PBE).

Results
As for the total energy: -6.292 eV per atom. Its symmetry is No. 173.

a b c (Å): 9.8601 9.8601 6.2100
angles (deg): 90.00 90.00 120.00
Last column: magnetic moment on the atom in μB.
Fractional positions:
S  0.5210  0.0944  0.0044  0.01
S  0.3333  0.6667  0.0175  0.00
S  0.1401  0.8994  0.8130  0.07
S  0.8599  0.1006  0.3130  0.07
S  0.2407  0.1401  0.3130  0.07
S  0.5735  0.4790  0.0044  0.01
S  0.6667  0.3333  0.5175  0.00
S  0.0944  0.5735  0.5044  0.01
S  0.7593  0.8599  0.8130  0.07
S  0.4790  0.9056  0.5044  0.01
S  0.4265  0.5210  0.5044  0.01
S  0.9056  0.4265  0.0044  0.01
S  0.8994  0.7593  0.3130  0.07
S  0.1006  0.2407  0.8130  0.07
Al  0.3333  0.6667  0.6557  0.00
Al  0.6667  0.3333  0.1557  0.00
Sm  0.6216  0.7732  0.2335  0.03
Sm  0.3784  0.2268  0.7335  0.03
Sm  0.1515  0.3784  0.2335  0.03
Sm  0.8485  0.6216  0.7335  0.03
Sm  0.7732  0.1515  0.7335  0.03
Sm  0.2268  0.8485  0.2335  0.03
Mn  0.0000  0.0000  0.5382  4.17
Mn  0.0000  0.0000  0.0382  4.17

---

| no. | E_form (uncorrected) (eV/atom) |
| --- | --- |
| 1 | -0.654 |
| 2 | -1.422 |
| 3 | -1.628 |